1.
The following is a DFT calculation (PBE) of crystalline RbNiSbCl2 at its relaxed geometry.

Its energy relative to the elements, uncorrected is -0.5651 eV/atom. For the size of the total moment, the calculation gives 0.1 μB/cell.

It has space group P4/mmm (No. 123), with a = 5.6998 Å, b = 5.6998 Å, c = 4.7591 Å, α = 90.00°, β = 90.00° and γ = 90.00°. Symmetry generates all atoms from Rb at (0.0000, 0.0000, 0.0000), Ni at (0.5000, 0.5000, 0.0000), Sb at (0.5000, 0.5000, 0.5000) and Cl at (0.0000, 0.5000, 0.5000).

2.
The following is a DFT calculation (PBE) of crystalline KCd2Pb3 at its relaxed geometry.

The value obtained for the formation energy is -1.198 kcal/mol of atoms. For the size of the total moment, the calculation gives 0.0 μB/cell. For the polymorph energy (0 for the lowest one), the calculation gives 0.000 eV per formula unit.

It has space group C2/m (No. 12), with a = 20.6526 Å, b = 4.9227 Å, c = 12.3654 Å, α = 90.00°, β = 107.00° and γ = 90.00°. Symmetry generates all atoms from K at (0.0000, 0.0000, 0.0000), K at (0.1560, 0.0000, 0.7077), Cd at (0.0276, 0.5000, 0.7804), Cd at (0.1482, 0.5000, 0.4710), Cd at (0.1976, 0.0000, 0.0986), Pb at (0.0000, 0.5000, 0.5000), Pb at (0.0506, 0.0000, 0.3569), Pb at (0.1265, 0.5000, 0.1946), Pb at (0.1648, 0.5000, 0.9486) and Pb at (0.2112, 0.0000, 0.3599).